VASP calculation (PBE) on a geometry-optimized LiMg2ReO6 structure.

Properties
ΔE_f (raw): -2096 meV/atom

Cell lengths 5.1818, 5.1815, 5.6049 Å; angles 62.47, 62.46, 59.99 degrees
Positions (direct):
Li 0.7910 0.7910 0.6269
Mg 0.5206 0.5206 0.4384
Mg 0.0199 0.0199 0.9404
Re 0.3226 0.3225 0.0323
O 0.5759 0.2413 0.2277
O 0.2412 0.9552 0.2277
O 0.9551 0.5760 0.2277
O 0.4056 0.7020 0.7646
O 0.7021 0.1277 0.7647
O 0.1277 0.4056 0.7647